{
  "formula": "LaSmHo2Er2",
  "functional": "PBE",
  "state": "relaxed",
  "cell": [[5.661, 0.000, 0.000], [0.000, 9.848, 0.000], [0.000, 0.000, 6.948]],
  "species": ["Er", "Er", "Er", "Er", "La", "La", "Sm", "Sm", "Ho", "Ho", "Ho", "Ho"],
  "frac_coords": [[0.000, 0.333, 0.250], [0.000, 0.667, 0.750], [0.500, 0.167, 0.750], [0.500, 0.833, 0.250], [0.000, 0.000, 0.000], [0.500, 0.500, 0.500], [0.500, 0.500, 0.000], [0.000, 0.000, 0.500], [0.000, 0.334, 0.752], [0.500, 0.834, 0.748], [0.500, 0.166, 0.252], [0.000, 0.666, 0.248]],
  "e_form_ev_per_atom": 0.072
}

---

{
  "formula": "KAcPd2",
  "functional": "PBE",
  "state": "relaxed",
  "cell": [[-3.328, -1.459, -1.184], [-1.090, -0.462, 3.634], [-3.237, 7.409, -0.030]],
  "species": ["Ac", "K", "Pd", "Pd"],
  "frac_coords": [[0.500, 0.500, 0.000], [0.500, 0.500, 0.500], [0.000, 0.000, 0.196], [0.000, 0.000, 0.804]],
  "e_form_ev_per_atom": -0.402,
  "polymorph_energy_ev_per_fu": 0.00
}